# 1
Entry from Alexandria: LiCuNi2 after structural relaxation (GGA-PBE).

Cell lengths 4.3703, 4.3703, 4.4052 Å; angles 81.44, 81.44, 33.11 degrees
Last column: nearest neighbours and their distance in Å.
Element x y z (fractional)
Ni 0.0076 0.0076 0.9773  5 Ni 2.43-2.49, 4 Cu 2.50-2.57, 3 Li 2.54-2.64
Ni 0.7490 0.7490 0.7704  5 Ni 2.43-2.49, 4 Li 2.50-2.57, 3 Cu 2.55-2.63
Cu 0.4936 0.4936 0.4912  3 Li 2.42-2.55, 2 Cu 2.49, 7 Ni 2.50-2.63
Li 0.2497 0.2497 0.2611  3 Cu 2.42-2.55, 2 Li 2.49, 7 Ni 2.50-2.64

Results
Energy of formation (meV per atom): 2
Total moment (μB per cell): 0.76
Crystal system: monoclinic

---

# 2
Entry from Alexandria: Sr2TaHBr after structural relaxation (GGA-PBE).

Cell lengths 6.0929, 4.9274, 6.0929 Å; angles 90.00, 90.00, 90.00 degrees
Last column: nearest neighbours and their distance in Å.
Element x y z (fractional)
Sr 0.0000 0.0000 0.5000  2 Ta 3.05
Sr 0.5000 0.0000 0.0000  2 Ta 3.05
H 0.5000 0.5000 0.5000  8 Sr 3.92, 4 Br 4.31
Br 0.0000 0.5000 0.0000  2 Ta 2.46
Ta 0.0000 0.0000 0.0000  2 Br 2.46

Results
Raw total energy (eV/atom): -3.3444
Total moment (μB per cell): 0.00
Crystal system: tetragonal

---

# 3
Entry from Alexandria: AlTc2AuO after structural relaxation (GGA-PBE).

Cell lengths 4.1833, 4.1833, 3.8986 Å; angles 90.00, 90.00, 90.00 degrees
Last column: nearest neighbours and their distance in Å.
Element x y z (fractional)
Au 0.5000 0.5000 0.5000  8 Tc 2.86, 4 Al 2.96
Tc 0.0000 0.5000 0.0000  2 O 2.09
Tc 0.5000 0.0000 0.0000  2 O 2.09
O 0.0000 0.0000 0.0000  2 Al 1.95, 4 Tc 2.09
Al 0.0000 0.0000 0.5000  2 O 1.95

Results
Total moment (μB per cell): 0.00
Formation energy from raw total energies (kJ/mol of formula units): -27.9
Crystal system: tetragonal

---

# 4
Entry from Alexandria: CeMnCo after structural relaxation (GGA-PBE).

Cell lengths 7.4474, 7.4474, 5.8521 Å; angles 109.86, 109.86, 117.79 degrees
Last column: nearest neighbours and their distance in Å.
Element x y z (fractional)
Ce 0.6250 0.3750 0.2500  2 Co 2.74, 2 Ce 2.93
Ce 0.1250 0.3750 0.7500  2 Co 2.74, 2 Ce 2.93
Ce 0.6250 0.3750 0.7500  2 Co 2.74, 2 Ce 2.93
Ce 0.6250 0.8750 0.2500  2 Co 2.74, 2 Ce 2.93
Mn 0.0922 0.9078 0.5000  4 Co 2.39-2.43
Mn 0.8422 0.1578 0.0000  4 Co 2.39-2.43
Mn 0.4078 0.5922 0.5000  4 Co 2.39-2.43
Mn 0.1578 0.8422 0.0000  4 Co 2.39-2.43
Co 0.1031 0.6031 0.2062  4 Mn 2.39-2.43, 1 Co 2.59
Co 0.1469 0.1469 0.2938  4 Mn 2.39-2.43, 1 Co 2.59
Co 0.8531 0.8531 0.7062  4 Mn 2.39-2.43, 1 Co 2.59
Co 0.3969 0.8969 0.7938  4 Mn 2.39-2.43, 1 Co 2.59

Results
Energy of formation (meV per atom): 189
Total moment (μB per cell): 12.05
Crystal system: orthorhombic